a | 5
Lattice="4.914 0.000 0.000 0.000 4.914 0.000 0.000 0.000 4.914" Properties=species:S:1:pos:R:3 comment="PBE-GGA FeReCl3, optimized geometry" dos_at_fermi_per_ev_atom=0.930 pbc="T T T"
Cl 0.000 0.000 2.457
Cl 0.000 2.457 0.000
Cl 2.457 0.000 0.000
Re 2.457 2.457 2.457
Fe 0.000 0.000 0.000


b | 5
Lattice="-1.579 3.767 -2.518 0.402 -2.540 -4.051 -4.513 -1.544 0.520" Properties=species:S:1:pos:R:3 comment="PBE-GGA FeReCl3, optimized geometry" dos_at_fermi_per_ev_atom=1.975 pbc="T T T"
Cl 0.201 -1.270 -2.026
Cl -2.257 -0.772 0.260
Cl -0.790 1.883 -1.259
Fe -2.845 -0.158 -3.025
Re 0.000 0.000 0.000


Stability ranking, top entry: a; the second entry is 5.8 kJ/mol of atoms less favorable.


a | 3
Lattice="2.873 0.000 0.000 -1.437 2.488 0.000 0.000 0.000 6.010" Properties=species:S:1:pos:R:3 comment="PBE-GGA FeReCl, optimized geometry" dos_at_fermi_per_ev_atom=1.043 pbc="T T T"
Re 0.000 1.659 3.865
Fe 1.437 0.829 1.989
Cl 0.000 0.000 0.155


b | 3
Lattice="5.851 0.011 0.000 4.466 3.779 0.000 -5.159 -1.895 2.007" Properties=species:S:1:pos:R:3 comment="PBE-GGA FeReCl, optimized geometry" dos_at_fermi_per_ev_atom=0.924 pbc="T T T"
Cl 10.245 3.764 0.000
Re 3.286 1.207 0.000
Fe 7.103 2.610 0.000


Stability ranking, top entry: a; the second entry is 15.1 kJ/mol of atoms less favorable.


a | 3
Lattice="6.767 -0.001 0.000 5.847 2.738 -0.006 0.921 -1.188 2.468" Properties=species:S:1:pos:R:3 comment="PBE-GGA FeReCl, optimized geometry" dos_at_fermi_per_ev_atom=0.793 pbc="T T T"
Fe 8.728 1.433 0.817
Cl 1.064 -1.140 2.437
Re 4.662 0.068 1.676


b | 3
Lattice="-3.822 1.399 -0.456 -2.373 0.582 3.286 -0.946 3.801 1.195" Properties=species:S:1:pos:R:3 comment="PBE-GGA FeReCl, optimized geometry" dos_at_fermi_per_ev_atom=0.662 pbc="T T T"
Re -1.785 1.445 1.006
Cl 0.000 0.000 0.000
Fe -3.570 2.891 2.013


c | 3
Lattice="4.204 0.000 0.000 -2.102 3.641 0.000 0.000 0.000 2.789" Properties=species:S:1:pos:R:3 comment="PBE-GGA FeReCl, optimized geometry" dos_at_fermi_per_ev_atom=0.907 pbc="T T T"
Re 0.000 2.427 2.324
Fe 2.102 1.214 0.931
Cl 0.000 0.000 2.323


Stability ranking, top entry: a; the second entry is 28.4 kJ/mol of atoms less favorable.


a | 5
Lattice="4.558 0.000 0.000 0.000 4.558 0.000 0.000 0.000 5.053" Properties=species:S:1:pos:R:3 comment="PBE-GGA FeReS2Cl, optimized geometry" dos_at_fermi_per_ev_atom=1.758 pbc="T T T"
Fe 2.279 2.279 2.527
S 2.279 0.000 0.000
S 0.000 2.279 0.000
Cl 0.000 0.000 2.527
Re 0.000 0.000 0.000


b | 5
Lattice="-2.542 3.626 -1.172 -3.765 -2.172 1.444 0.573 1.721 4.083" Properties=species:S:1:pos:R:3 comment="PBE-GGA FeReS2Cl, optimized geometry" dos_at_fermi_per_ev_atom=0.643 pbc="T T T"
Cl 0.287 0.861 2.042
S -1.883 -1.086 0.722
S -1.271 1.813 -0.586
Fe 0.000 0.000 0.000
Re -2.867 1.588 2.178


Stability ranking, top entry: a; the second entry is 29.4 kJ/mol of atoms less favorable.